--- A ---
A relaxed structure of In4SnPb, computed with PBE.

Results
The value obtained for the total magnetization is 0.0 μB/f.u.

Unit cell a=5.1165 b=5.1165 c=7.4701 alpha=90.06 beta=90.06 gamma=90.01
Positions (direct):
In 0.9996 0.5001 0.2420
In 0.0004 0.4999 0.7580
In 0.5001 0.9996 0.2420
In 0.4999 0.0004 0.7580
Sn 0.0000 0.0000 0.0000
Pb 0.5000 0.5000 0.5000

***

--- B ---
A relaxed structure of In4SnPb, computed with PBE.

Results
The value obtained for the total magnetization is 0.0 μB/f.u.

Unit cell a=6.2568 b=6.2568 c=6.2568 alpha=60.00 beta=60.00 gamma=60.00
Positions (direct):
In 0.1251 0.1251 0.1251
In 0.1251 0.1251 0.6247
In 0.1251 0.6247 0.1251
In 0.6247 0.1251 0.1251
Sn 0.5000 0.5000 0.5000
Pb 0.7500 0.7500 0.7500

***

Which one sits at the bottom of the stability order? B does.

***

--- A ---
A relaxed structure of In7Sn4Pb, computed with PBE.

Results
The value obtained for the total magnetization is 0.0 μB/f.u.

Unit cell a=7.1767 b=7.1767 c=9.8778 alpha=117.54 beta=117.54 gamma=50.66
Positions (direct):
In 0.0000 0.0000 0.0000
In 0.2453 0.2453 0.6576
In 0.2458 0.2458 0.9991
In 0.4974 0.4974 0.6600
In 0.5026 0.5026 0.3400
In 0.7542 0.7542 0.0009
In 0.7547 0.7547 0.3424
Sn 0.0022 0.0022 0.6696
Sn 0.2479 0.2479 0.3309
Sn 0.7521 0.7521 0.6691
Sn 0.9978 0.9978 0.3304
Pb 0.5000 0.5000 0.0000

***

--- B ---
A relaxed structure of In7Sn4Pb, computed with PBE.

Results
The value obtained for the total magnetization is 0.0 μB/f.u.

Unit cell a=3.4084 b=3.4084 c=33.0365 alpha=90.00 beta=90.00 gamma=120.00
Positions (direct):
In 0.0000 0.0000 0.0000
In 0.0000 0.0000 0.2476
In 0.0000 0.0000 0.7524
In 0.3333 0.6667 0.1652
In 0.3333 0.6667 0.4126
In 0.6667 0.3333 0.5874
In 0.6667 0.3333 0.8348
Sn 0.3333 0.6667 0.6689
Sn 0.3333 0.6667 0.9182
Sn 0.6667 0.3333 0.0818
Sn 0.6667 0.3333 0.3311
Pb 0.0000 0.0000 0.5000

***

Which one sits at the bottom of the stability order? A does.

***

--- A ---
A relaxed structure of InSn3Pb7, computed with PBE.

Results
The value obtained for the total magnetization is 0.0 μB/f.u.

Unit cell a=22.2079 b=22.2079 c=10.1563 alpha=90.00 beta=90.00 gamma=171.42
Positions (direct):
In 0.0911 0.9089 0.7500
In 0.9089 0.0911 0.2500
Sn 0.0927 0.9073 0.0876
Sn 0.0927 0.9073 0.4124
Sn 0.2767 0.7233 0.7500
Sn 0.7233 0.2767 0.2500
Sn 0.9073 0.0927 0.5876
Sn 0.9073 0.0927 0.9124
Pb 0.2779 0.7221 0.0808
Pb 0.2779 0.7221 0.4192
Pb 0.3540 0.6460 0.0826
Pb 0.3540 0.6460 0.4174
Pb 0.4648 0.5352 0.0809
Pb 0.4648 0.5352 0.4191
Pb 0.4677 0.5323 0.7500
Pb 0.5323 0.4677 0.2500
Pb 0.5352 0.4648 0.5809
Pb 0.5352 0.4648 0.9191
Pb 0.6460 0.3540 0.5826
Pb 0.6460 0.3540 0.9174
Pb 0.7221 0.2779 0.5808
Pb 0.7221 0.2779 0.9192

***

--- B ---
A relaxed structure of InSn3Pb7, computed with PBE.

Results
The value obtained for the total magnetization is 0.0 μB/f.u.

Unit cell a=7.1171 b=7.1171 c=7.9476 alpha=90.00 beta=90.00 gamma=120.00
Positions (direct):
In 0.0000 0.0000 0.0000
Sn 0.1521 0.3041 0.6523
Sn 0.1521 0.8479 0.6523
Sn 0.6959 0.8479 0.6523
Pb 0.3333 0.6667 0.3244
Pb 0.3460 0.1730 0.3250
Pb 0.5020 0.0039 0.9591
Pb 0.5020 0.4980 0.9591
Pb 0.8270 0.1730 0.3250
Pb 0.8270 0.6540 0.3250
Pb 0.9961 0.4980 0.9591

***

Which one sits at the bottom of the stability order? A does.

***

--- A ---
A relaxed structure of In2Sn4Pb, computed with PBE.

Results
The value obtained for the total magnetization is 0.0 μB/f.u.

Unit cell a=11.8934 b=11.8934 c=11.8934 alpha=159.48 beta=159.48 gamma=29.19
Positions (direct):
In 0.0773 0.0773 0.0000
In 0.9227 0.9227 0.0000
Sn 0.2500 0.7500 0.5000
Sn 0.3603 0.3603 0.0000
Sn 0.6397 0.6397 0.0000
Sn 0.7500 0.2500 0.5000
Pb 0.5000 0.5000 0.0000

***

--- B ---
A relaxed structure of In2Sn4Pb, computed with PBE.

Results
The value obtained for the total magnetization is 0.0 μB/f.u.

Unit cell a=7.0985 b=7.0985 c=9.0115 alpha=90.00 beta=90.00 gamma=68.48
Positions (direct):
In 0.2160 0.2160 0.0000
In 0.2840 0.2840 0.5000
In 0.7160 0.7160 0.5000
In 0.7840 0.7840 0.0000
Sn 0.0099 0.4901 0.7500
Sn 0.1420 0.8580 0.8361
Sn 0.3580 0.6420 0.3361
Sn 0.4901 0.0099 0.2500
Sn 0.5099 0.9901 0.7500
Sn 0.6420 0.3580 0.6639
Sn 0.8580 0.1420 0.1639
Sn 0.9901 0.5099 0.2500
Pb 0.0000 0.0000 0.5000
Pb 0.5000 0.5000 0.0000

***

Which one sits at the bottom of the stability order? B does.

***

--- A ---
A relaxed structure of In6Sn2Pb, computed with PBE.

Results
The value obtained for the total magnetization is 0.0 μB/f.u.

Unit cell a=3.4640 b=3.4640 c=24.3256 alpha=90.00 beta=90.00 gamma=120.00
Positions (direct):
In 0.0000 0.0000 0.0626
In 0.0000 0.0000 0.2780
In 0.0000 0.0000 0.7220
In 0.0000 0.0000 0.9374
In 0.3333 0.6667 0.3863
In 0.3333 0.6667 0.6137
Sn 0.3333 0.6667 0.1701
Sn 0.3333 0.6667 0.8299
Pb 0.0000 0.0000 0.5000

***

--- B ---
A relaxed structure of In6Sn2Pb, computed with PBE.

Results
The value obtained for the total magnetization is 0.0 μB/f.u.

Unit cell a=5.2848 b=5.2848 c=10.4438 alpha=90.00 beta=90.00 gamma=120.00
Positions (direct):
In 0.0000 0.0000 0.1635
In 0.0000 0.0000 0.8365
In 0.3333 0.6667 0.0446
In 0.3333 0.6667 0.3764
In 0.6667 0.3333 0.6236
In 0.6667 0.3333 0.9554
Sn 0.3333 0.6667 0.7163
Sn 0.6667 0.3333 0.2837
Pb 0.0000 0.0000 0.5000

***

Which one sits at the bottom of the stability order? A does.

***

--- A ---
A relaxed structure of In2SnPb3, computed with PBE.

Results
The value obtained for the total magnetization is 0.0 μB/f.u.

Unit cell a=9.3823 b=9.3823 c=11.7803 alpha=111.92 beta=111.92 gamma=21.67
Positions (direct):
In 0.0811 0.0811 0.4626
In 0.2552 0.2552 0.3850
In 0.7448 0.7448 0.6150
In 0.9189 0.9189 0.5374
Sn 0.4202 0.4202 0.2983
Sn 0.5798 0.5798 0.7017
Pb 0.0823 0.0823 0.9545
Pb 0.2444 0.2444 0.8658
Pb 0.4124 0.4124 0.7820
Pb 0.5876 0.5876 0.2180
Pb 0.7556 0.7556 0.1342
Pb 0.9177 0.9177 0.0455

***

--- B ---
A relaxed structure of In2SnPb3, computed with PBE.

Results
The value obtained for the total magnetization is 0.0 μB/f.u.

Unit cell a=9.5632 b=3.5345 c=10.5317 alpha=90.00 beta=90.03 gamma=90.00
Positions (direct):
In 0.1117 0.2500 0.4117
In 0.3756 0.7500 0.9144
In 0.6244 0.2500 0.0856
In 0.8883 0.7500 0.5883
Sn 0.1243 0.2500 0.7524
Sn 0.8757 0.7500 0.2476
Pb 0.1278 0.2500 0.0831
Pb 0.3600 0.7500 0.5823
Pb 0.3793 0.7500 0.2516
Pb 0.6207 0.2500 0.7484
Pb 0.6400 0.2500 0.4177
Pb 0.8722 0.7500 0.9169

***

Which one sits at the bottom of the stability order? A does.

***

--- A ---
A relaxed structure of InSnPb4, computed with PBE.

Results
The value obtained for the total magnetization is 0.0 μB/f.u.

Unit cell a=3.5907 b=3.5907 c=14.0617 alpha=90.00 beta=90.00 gamma=90.00
Positions (direct):
In 0.0000 0.0000 0.0000
Sn 0.5000 0.5000 0.5000
Pb 0.0000 0.0000 0.3351
Pb 0.0000 0.0000 0.6649
Pb 0.5000 0.5000 0.1636
Pb 0.5000 0.5000 0.8364

***

--- B ---
A relaxed structure of InSnPb4, computed with PBE.

Results
The value obtained for the total magnetization is 0.0 μB/f.u.

Unit cell a=5.6621 b=6.6690 c=9.6388 alpha=90.00 beta=92.27 gamma=90.00
Positions (direct):
In 0.2303 0.2500 0.4116
In 0.7697 0.7500 0.5884
Sn 0.2628 0.2500 0.0887
Sn 0.7372 0.7500 0.9113
Pb 0.2471 0.7500 0.0805
Pb 0.2492 0.0013 0.7558
Pb 0.2492 0.4987 0.7558
Pb 0.2645 0.7500 0.4266
Pb 0.7355 0.2500 0.5734
Pb 0.7508 0.5013 0.2442
Pb 0.7508 0.9987 0.2442
Pb 0.7529 0.2500 0.9195

***

--- C ---
A relaxed structure of InSnPb4, computed with PBE.

Results
The value obtained for the total magnetization is 0.0 μB/f.u.

Unit cell a=6.5093 b=6.5093 c=6.5093 alpha=60.00 beta=60.00 gamma=60.00
Positions (direct):
In 0.0000 0.0000 0.0000
Sn 0.7500 0.7500 0.7500
Pb 0.3748 0.3748 0.3748
Pb 0.3748 0.3748 0.8755
Pb 0.3748 0.8755 0.3748
Pb 0.8755 0.3748 0.3748

***

Which one sits at the bottom of the stability order? C does.

***

--- A ---
A relaxed structure of InSn2Pb8, computed with PBE.

Results
The value obtained for the total magnetization is 0.0 μB/f.u.

Unit cell a=8.4788 b=8.4788 c=5.9074 alpha=102.13 beta=102.13 gamma=61.85
Positions (direct):
In 0.0000 0.0000 0.0000
Sn 0.1213 0.1213 0.5036
Sn 0.8787 0.8787 0.4964
Pb 0.2245 0.6315 0.2206
Pb 0.2286 0.2286 0.0655
Pb 0.3611 0.3611 0.6580
Pb 0.3685 0.7755 0.7794
Pb 0.6315 0.2245 0.2206
Pb 0.6389 0.6389 0.3420
Pb 0.7714 0.7714 0.9345
Pb 0.7755 0.3685 0.7794

***

--- B ---
A relaxed structure of InSn2Pb8, computed with PBE.

Results
The value obtained for the total magnetization is 0.0 μB/f.u.

Unit cell a=9.1862 b=9.1862 c=7.7643 alpha=104.31 beta=104.31 gamma=31.97
Positions (direct):
In 0.0000 0.0000 0.0000
Sn 0.2708 0.2708 0.3679
Sn 0.7292 0.7292 0.6321
Pb 0.0944 0.0944 0.4548
Pb 0.1819 0.1819 0.9086
Pb 0.3630 0.3630 0.8173
Pb 0.4536 0.4536 0.2712
Pb 0.5464 0.5464 0.7288
Pb 0.6370 0.6370 0.1827
Pb 0.8181 0.8181 0.0914
Pb 0.9056 0.9056 0.5452

***

Which one sits at the bottom of the stability order? A does.